Record 1
! Zr2ScIr (SCAN, single point on PBEsol structure); values from VASP
! Formation energy = -2.27 eV per formula unit
&SYSTEM
  ibrav = 0, nat = 4, ntyp = 3
/
ATOMIC_SPECIES
Ir 192.22 Ir.upf
Sc 44.96 Sc.upf
Zr 91.22 Zr.upf
ATOMIC_POSITIONS angstrom
Ir 0.0000 0.0000 3.6720
Sc 1.6273 1.6273 5.2618
Zr 0.0000 0.0000 0.0410
Zr 1.6273 1.6273 2.0919
CELL_PARAMETERS angstrom
3.2546 0.0000 0.0000
0.0000 3.2546 0.0000
0.0000 0.0000 7.3778

Record 2
! Zr2ScIr (SCAN, single point on PBEsol structure); values from VASP
! Formation energy = -2.38 eV per formula unit
&SYSTEM
  ibrav = 0, nat = 4, ntyp = 3
/
ATOMIC_SPECIES
Sc 44.96 Sc.upf
Ir 192.22 Ir.upf
Zr 91.22 Zr.upf
ATOMIC_POSITIONS angstrom
Sc 0.0000 2.3723 2.1574
Ir 0.0000 0.0000 4.8441
Zr 0.0000 0.0000 0.0190
Zr 1.6784 0.0000 2.6912
CELL_PARAMETERS angstrom
3.3569 0.0000 0.0000
0.0000 4.7446 0.0000
-1.6784 -2.3723 4.8558

Record 3
! ZrScIr2 (SCAN, single point on PBEsol structure); values from VASP
! Formation energy = -4.52 eV per formula unit
&SYSTEM
  ibrav = 0, nat = 4, ntyp = 3
/
ATOMIC_SPECIES
Sc 44.96 Sc.upf
Ir 192.22 Ir.upf
Zr 91.22 Zr.upf
ATOMIC_POSITIONS angstrom
Sc 1.5464 0.0000 2.9174
Ir 0.0000 0.0000 0.5797
Ir 0.0000 2.3354 2.9222
Zr 1.5464 2.3354 0.5861
CELL_PARAMETERS angstrom
3.0927 0.0000 0.0000
0.0000 4.6707 0.0000
0.0000 0.0000 4.6703

Record 4
! Zr2ScIr (SCAN, single point on PBEsol structure); values from VASP
! Formation energy = -1.71 eV per formula unit
&SYSTEM
  ibrav = 0, nat = 4, ntyp = 3
/
ATOMIC_SPECIES
Ir 192.22 Ir.upf
Sc 44.96 Sc.upf
Zr 91.22 Zr.upf
ATOMIC_POSITIONS angstrom
Ir 1.6258 0.0000 2.4221
Sc 0.0000 2.3653 2.4221
Zr 0.0000 0.0000 0.0000
Zr 1.6258 2.3653 0.0000
CELL_PARAMETERS angstrom
3.2515 0.0000 0.0000
0.0000 4.7307 0.0000
0.0000 0.0000 4.8443

Record 5
! ZrScIr3 (SCAN, single point on PBEsol structure); values from VASP
! Formation energy = 3.95 eV per formula unit
&SYSTEM
  ibrav = 0, nat = 5, ntyp = 3
/
ATOMIC_SPECIES
Sc 44.96 Sc.upf
Ir 192.22 Ir.upf
Zr 91.22 Zr.upf
ATOMIC_POSITIONS angstrom
Sc 0.0000 0.0000 0.0000
Ir 0.0000 2.2867 0.0000
Ir 0.0000 0.0000 2.2867
Ir 2.2867 0.0000 0.0000
Zr 2.2867 2.2867 2.2867
CELL_PARAMETERS angstrom
4.5734 0.0000 0.0000
0.0000 4.5734 0.0000
0.0000 0.0000 4.5734

Record 6
! Ir3Se8 (SCAN, single point on PBEsol structure); values from VASP
! Total energy = -34.343 eV per atom
&SYSTEM
  ibrav = 0, nat = 11, ntyp = 2
/
ATOMIC_SPECIES
Ir 192.22 Ir.upf
Se 78.96 Se.upf
ATOMIC_POSITIONS angstrom
Ir -0.0540 2.9485 2.9740
Ir 2.9489 2.9741 -0.0033
Ir 2.9489 -0.0289 2.9740
Se 5.2285 0.6864 3.7116
Se 0.6418 3.6665 5.2659
Se 3.6609 5.2599 0.7183
Se 3.6567 3.6880 3.7199
Se 2.1870 2.2057 2.2248
Se 2.1828 0.6339 5.2264
Se 5.2020 2.2273 0.6788
Se 0.6153 5.2074 2.2330
CELL_PARAMETERS angstrom
5.9518 -0.0033 -0.0033
-0.0540 5.9515 -0.0033
-0.0540 -0.0545 5.9513

Record 7
! IrSe (SCAN, single point on PBEsol structure); values from VASP
! Total energy = -45.370 eV per atom
&SYSTEM
  ibrav = 0, nat = 6, ntyp = 2
/
ATOMIC_SPECIES
Ir 192.22 Ir.upf
Se 78.96 Se.upf
ATOMIC_POSITIONS angstrom
Ir 0.0000 5.6725 0.1069
Ir 1.7717 1.2960 1.6424
Ir 1.7717 3.6711 0.4983
Se 0.0000 2.9047 3.8509
Se 1.7717 -0.0139 5.3058
Se 0.0000 -0.1010 2.5720
CELL_PARAMETERS angstrom
3.5434 0.0000 0.0000
0.0000 6.0585 -0.0948
-1.7717 -2.1584 5.3537

Record 8
! SiIr2Se (SCAN, single point on PBEsol structure); values from VASP
! Total energy = -42.680 eV per atom
&SYSTEM
  ibrav = 0, nat = 4, ntyp = 3
/
ATOMIC_SPECIES
Ir 192.22 Ir.upf
Se 78.96 Se.upf
Si 28.09 Si.upf
ATOMIC_POSITIONS angstrom
Ir 0.0000 0.0000 0.0000
Ir 1.3899 0.0000 2.4904
Se 1.3899 2.1413 0.0000
Si 0.0000 2.1413 2.4904
CELL_PARAMETERS angstrom
2.7797 0.0000 0.0000
0.0000 4.2827 0.0000
0.0000 0.0000 4.9808

Record 9
! Si3IrSe (SCAN, single point on PBEsol structure); values from VASP
! Total energy = -24.033 eV per atom
&SYSTEM
  ibrav = 0, nat = 5, ntyp = 3
/
ATOMIC_SPECIES
Si 28.09 Si.upf
Ir 192.22 Ir.upf
Se 78.96 Se.upf
ATOMIC_POSITIONS angstrom
Si 0.0000 2.2979 0.0000
Si 0.0000 0.0000 2.2979
Si 2.2979 0.0000 0.0000
Ir 0.0000 0.0000 0.0000
Se 2.2979 2.2979 2.2979
CELL_PARAMETERS angstrom
4.5958 0.0000 0.0000
0.0000 4.5958 0.0000
0.0000 0.0000 4.5958

Record 10
! SiIr2Se (SCAN, single point on PBEsol structure); values from VASP
! Total energy = -43.092 eV per atom
&SYSTEM
  ibrav = 0, nat = 4, ntyp = 3
/
ATOMIC_SPECIES
Ir 192.22 Ir.upf
Se 78.96 Se.upf
Si 28.09 Si.upf
ATOMIC_POSITIONS angstrom
Ir 1.4329 1.4796 6.2975
Ir 1.4329 0.0000 3.0774
Se 1.4329 1.4796 0.7628
Si 0.0000 1.4796 4.3494
CELL_PARAMETERS angstrom
2.8657 0.0000 0.0000
0.0000 2.9593 0.0000
-1.4329 -1.4796 7.2436

Record 11
! SiIr2Se (SCAN, single point on PBEsol structure); values from VASP
! Total energy = -43.069 eV per atom
&SYSTEM
  ibrav = 0, nat = 8, ntyp = 3
/
ATOMIC_SPECIES
Si 28.09 Si.upf
Ir 192.22 Ir.upf
Se 78.96 Se.upf
ATOMIC_POSITIONS angstrom
Si 2.6513 0.0000 2.7791
Si 2.6513 2.6513 0.0000
Ir 1.3932 3.9770 1.3895
Ir 3.9094 1.3257 1.3895
Ir -1.3257 -1.2581 4.1686
Ir 1.3257 1.2581 4.1686
Se 0.0000 2.6513 2.7791
Se 0.0000 0.0000 0.0000
CELL_PARAMETERS angstrom
5.3026 0.0000 0.0000
0.0000 5.3026 0.0000
-2.6513 -2.6513 5.5581

Record 12
! SnIrSe2 (SCAN, single point on PBEsol structure); values from VASP
! Total energy = -36.190 eV per atom
&SYSTEM
  ibrav = 0, nat = 4, ntyp = 3
/
ATOMIC_SPECIES
Ir 192.22 Ir.upf
Sn 118.71 Sn.upf
Se 78.96 Se.upf
ATOMIC_POSITIONS angstrom
Ir 0.0000 0.0000 0.0000
Sn 3.7043 2.1387 4.0136
Se 5.5565 3.2081 2.3163
Se 1.8522 1.0694 5.7109
CELL_PARAMETERS angstrom
3.7043 0.0000 0.0000
1.8522 3.2081 0.0000
1.8522 1.0694 8.0272